No. 1
Density functional theory data (PBE) for DySiPd2 after structural relaxation.

a b c (Å): 4.160 6.182 5.641
angles (deg): 90.00 90.00 90.00
Element x y z (fractional)
1 Dy 0.000 0.086 0.000
2 Dy 0.500 0.914 0.500
3 Si 0.000 0.610 0.237
4 Si 0.500 0.390 0.737
5 Pd 0.000 0.260 0.514
6 Pd 0.000 0.657 0.712
7 Pd 0.500 0.343 0.212
8 Pd 0.500 0.740 0.014

Values from the calculation:
- DFT total energy: -5.854 eV per atom

***

No. 2
Density functional theory data (PBE) for ZrPd3Au4 after structural relaxation.

a b c (Å): 17.357 3.963 4.134
angles (deg): 90.00 103.73 90.00
Element x y z (fractional)
1 Zr 0.000 0.000 0.000
2 Zr 0.500 0.500 0.000
3 Pd 0.000 0.500 0.500
4 Pd 0.120 0.500 0.120
5 Pd 0.380 0.000 0.880
6 Pd 0.500 0.000 0.500
7 Pd 0.620 0.000 0.120
8 Pd 0.880 0.500 0.880
9 Au 0.122 0.000 0.622
10 Au 0.245 0.500 0.745
11 Au 0.255 0.000 0.255
12 Au 0.378 0.500 0.378
13 Au 0.622 0.500 0.622
14 Au 0.745 0.000 0.745
15 Au 0.755 0.500 0.255
16 Au 0.878 0.000 0.378

Values from the calculation:
- Calculated formation energy: -0.42 eV/atom

***

No. 3
Density functional theory data (PBE) for Hf4TlFeN2 after structural relaxation.

a b c (Å): 3.210 3.210 14.012
angles (deg): 90.00 90.00 120.00
Element x y z (fractional)
1 Hf 0.000 0.000 0.137
2 Hf 0.000 0.000 0.863
3 Hf 0.667 0.333 0.322
4 Hf 0.667 0.333 0.678
5 Tl 0.000 0.000 0.500
6 Fe 0.667 0.333 0.000
7 N 0.333 0.667 0.234
8 N 0.333 0.667 0.766

Values from the calculation:
- DFT total energy: -9.230 eV per atom

***

No. 4
Density functional theory data (PBE) for Ta4SnPbN2 after structural relaxation.

a b c (Å): 3.284 3.284 13.679
angles (deg): 90.00 90.00 120.00
Element x y z (fractional)
1 Ta 0.000 0.000 0.167
2 Ta 0.000 0.000 0.833
3 Ta 0.667 0.333 0.325
4 Ta 0.667 0.333 0.675
5 Sn 0.667 0.333 0.000
6 Pb 0.000 0.000 0.500
7 N 0.333 0.667 0.247
8 N 0.333 0.667 0.753

Values from the calculation:
- DFT total energy: -9.250 eV per atom

***

No. 5
Density functional theory data (PBE) for ScFeBiW after structural relaxation.

a b c (Å): 6.570 6.570 6.570
angles (deg): 90.00 90.00 90.00
Element x y z (fractional)
1 Sc 0.000 0.000 0.000
2 Sc 0.000 0.500 0.500
3 Sc 0.500 0.000 0.500
4 Sc 0.500 0.500 0.000
5 Fe 0.000 0.000 0.500
6 Fe 0.000 0.500 0.000
7 Fe 0.500 0.000 0.000
8 Fe 0.500 0.500 0.500
9 Bi 0.250 0.250 0.250
10 Bi 0.250 0.750 0.750
11 Bi 0.750 0.250 0.750
12 Bi 0.750 0.750 0.250
13 W 0.250 0.250 0.750
14 W 0.250 0.750 0.250
15 W 0.750 0.250 0.250
16 W 0.750 0.750 0.750

Values from the calculation:
- Offset from the most stable computed form: 0 kJ/mol of formula units

***

No. 6
Density functional theory data (PBE) for DyTm2Cd3AgHg2 after structural relaxation.

a b c (Å): 3.999 7.833 7.833
angles (deg): 120.23 90.00 90.00
Element x y z (fractional)
1 Dy 0.000 0.000 0.000
2 Tm 0.000 0.405 0.811
3 Tm 0.000 0.811 0.405
4 Cd 0.500 0.150 0.406
5 Cd 0.500 0.406 0.150
6 Cd 0.500 0.662 0.662
7 Ag 0.000 0.408 0.408
8 Hg 0.500 0.073 0.737
9 Hg 0.500 0.737 0.073

Values from the calculation:
- Calculated formation energy: -0.38 eV/atom

***

No. 7
Density functional theory data (PBE) for InGeAuS3 after structural relaxation.

a b c (Å): 6.897 6.897 10.172
angles (deg): 90.00 90.00 148.56
Element x y z (fractional)
1 In 0.179 0.821 0.750
2 In 0.821 0.179 0.250
3 Ge 0.500 0.500 0.000
4 Ge 0.500 0.500 0.500
5 Au 0.157 0.843 0.250
6 Au 0.843 0.157 0.750
7 S 0.132 0.868 0.022
8 S 0.132 0.868 0.478
9 S 0.467 0.533 0.250
10 S 0.533 0.467 0.750
11 S 0.868 0.132 0.522
12 S 0.868 0.132 0.978

Values from the calculation:
- Offset from the most stable computed form: 60 kJ/mol of formula units

***

No. 8
Density functional theory data (PBE) for ScTl2NiCl6 after structural relaxation.

a b c (Å): 7.025 7.025 7.025
angles (deg): 60.00 60.00 60.00
Element x y z (fractional)
1 Sc 0.000 0.000 0.000
2 Tl 0.250 0.250 0.250
3 Tl 0.750 0.750 0.750
4 Ni 0.500 0.500 0.500
5 Cl 0.251 0.251 0.749
6 Cl 0.251 0.749 0.251
7 Cl 0.251 0.749 0.749
8 Cl 0.749 0.251 0.251
9 Cl 0.749 0.251 0.749
10 Cl 0.749 0.749 0.251

Values from the calculation:
- DFT total energy: -4.005 eV per atom

***

No. 9
Density functional theory data (PBE) for YHf2In after structural relaxation.

a b c (Å): 7.229 7.229 7.229
angles (deg): 90.00 90.00 90.00
Element x y z (fractional)
1 Y 0.000 0.000 0.000
2 Y 0.000 0.500 0.500
3 Y 0.500 0.000 0.500
4 Y 0.500 0.500 0.000
5 Hf 0.000 0.000 0.500
6 Hf 0.000 0.500 0.000
7 Hf 0.250 0.250 0.250
8 Hf 0.250 0.750 0.750
9 Hf 0.500 0.000 0.000
10 Hf 0.500 0.500 0.500
11 Hf 0.750 0.250 0.750
12 Hf 0.750 0.750 0.250
13 In 0.250 0.250 0.750
14 In 0.250 0.750 0.250
15 In 0.750 0.250 0.250
16 In 0.750 0.750 0.750

Values from the calculation:
- DFT total energy: -7.216 eV per atom

***

No. 10
Density functional theory data (PBE) for BePdSO after structural relaxation.

a b c (Å): 3.334 3.334 9.233
angles (deg): 90.00 90.00 90.00
Element x y z (fractional)
1 Be 0.250 0.250 0.005
2 Be 0.750 0.750 0.995
3 Pd 0.250 0.250 0.600
4 Pd 0.750 0.750 0.400
5 S 0.250 0.250 0.317
6 S 0.750 0.750 0.683
7 O 0.250 0.750 0.000
8 O 0.750 0.250 0.000

Values from the calculation:
- Offset from the most stable computed form: 8 kJ/mol of formula units

***

No. 11
Density functional theory data (PBE) for TbGdCSe after structural relaxation.

a b c (Å): 3.797 3.797 13.402
angles (deg): 90.00 90.00 120.00
Element x y z (fractional)
1 Tb 0.000 0.000 0.149
2 Tb 0.000 0.000 0.851
3 Gd 0.667 0.333 0.351
4 Gd 0.667 0.333 0.649
5 C 0.333 0.667 0.249
6 C 0.333 0.667 0.751
7 Se 0.000 0.000 0.500
8 Se 0.667 0.333 0.000

Values from the calculation:
- DFT total energy: -6.618 eV per atom

***

No. 12
Density functional theory data (PBE) for SrLiLuSe3 after structural relaxation.

a b c (Å): 7.080 7.080 10.506
angles (deg): 90.00 90.00 146.14
Element x y z (fractional)
1 Sr 0.249 0.751 0.750
2 Sr 0.751 0.249 0.250
3 Li 0.027 0.973 0.250
4 Li 0.973 0.027 0.750
5 Lu 0.500 0.500 0.000
6 Lu 0.500 0.500 0.500
7 Se 0.136 0.864 0.060
8 Se 0.136 0.864 0.440
9 Se 0.423 0.577 0.250
10 Se 0.577 0.423 0.750
11 Se 0.864 0.136 0.560
12 Se 0.864 0.136 0.940

Values from the calculation:
- Offset from the most stable computed form: 7 kJ/mol of formula units

***

Q: Which formula does entry 3 have?
A: Hf4TlFeN2